(1)
# Ta6Nb12Sb, relaxed, DFT GGA-PBE
# Density (g/cm³): 10.6
# E_tot (eV/atom): -10.18
# Formation energy from raw total energies (eV/atom): 0.139
# Fermi-level density of states (states/eV per atom): 0.9722
# Magnetic moment (μB/cell): 0.0
data_Ta6Nb12Sb
_cell_length_a 10.1159
_cell_length_b 10.1159
_cell_length_c 12.3160
_cell_angle_alpha 90.00
_cell_angle_beta 90.00
_cell_angle_gamma 120.00
_space_group_name_H-M_alt 'R -3'
_space_group_IT_number 148
_space_group_name_Hall '-R 3'
loop_
_atom_site_label
_atom_site_fract_x
_atom_site_fract_y
_atom_site_fract_z
Ta1 0.0288 0.5925 0.2106
Nb1 0.0502 0.8651 0.3016
Nb2 0.0615 0.2263 0.9148
Sb1 0.0000 0.0000 0.5000

---

(2)
# AcErGa, relaxed, DFT GGA-PBE
# Polymorph energy (0 for the lowest one) (eV per formula unit): 0.00
# Density (g/cm³): 8.3
# E_form (eV/atom): -0.37
# E_tot (eV/atom): -4.27
# Fermi-level density of states (states/eV per atom): 1.0880
# Magnetic moment (μB/cell): 1.3
data_AcErGa
_cell_length_a 4.8034
_cell_length_b 4.8034
_cell_length_c 8.0053
_cell_angle_alpha 90.00
_cell_angle_beta 90.00
_cell_angle_gamma 90.00
_space_group_name_H-M_alt 'P 4/n m m'
_space_group_IT_number 129
loop_
_space_group_symop_operation_xyz
'x,y,z'
'-x,-y,-z'
'-y+1/2,x,z'
'y+1/2,-x,-z'
'-x+1/2,-y+1/2,z'
'x+1/2,y+1/2,-z'
'y,-x+1/2,z'
'-y,x+1/2,-z'
'x+1/2,-y,-z'
'-x+1/2,y,z'
'-y,-x,-z'
'y,x,z'
'-x,y+1/2,-z'
'x,-y+1/2,z'
'y+1/2,x+1/2,-z'
'-y+1/2,-x+1/2,z'
loop_
_atom_site_label
_atom_site_fract_x
_atom_site_fract_y
_atom_site_fract_z
Ac1 0.2500 0.2500 0.1417
Er1 0.2500 0.7500 0.5000
Ga1 0.2500 0.2500 0.7312

---

> What is the formula in the first record?

Ta6Nb12Sb